ZrSb2TeN (PBE, relaxed); SG = P4/mmm, No. 123; formation energy (no corrections) = 5.8 kcal/mol of atoms; E_tot = -5.401 eV per atom; energy relative to the lowest polymorph listed for this composition = 0.0 meV/atom
1.0
5.8066 0.0000 0.0000
0.0000 5.8066 0.0000
0.0000 0.0000 4.0237
Zr Sb N Te
1 2 1 1
Direct
0.0000 0.0000 0.0000 Zr
0.0000 0.5000 0.0000 Sb
0.5000 0.0000 0.0000 Sb
0.0000 0.0000 0.5000 N
0.5000 0.5000 0.5000 Te

=====

ZrSb2TeN (PBE, relaxed); SG = P4/mmm, No. 123; formation energy (no corrections) = 25.1 kcal/mol of atoms; E_tot = -4.564 eV per atom; energy relative to the lowest polymorph listed for this composition = 837.0 meV/atom
1.0
5.5807 0.0000 0.0000
0.0000 5.5807 0.0000
0.0000 0.0000 5.5787
Sb N Te Zr
2 1 1 1
Direct
0.0000 0.5000 0.0000 Sb
0.5000 0.0000 0.0000 Sb
0.5000 0.5000 0.5000 N
0.0000 0.0000 0.5000 Te
0.0000 0.0000 0.0000 Zr

=====

Th3Sb2N2 (PBE, relaxed); SG = C2/m, No. 12; formation energy (no corrections) = -32.3 kcal/mol of atoms; E_tot = -8.137 eV per atom
1.0
4.0123 0.0000 1.1528
1.3363 5.9407 2.9079
0.1095 -0.3874 7.1777
Th N Sb
3 2 2
Direct
0.8054 0.6226 0.7666 Th
0.0000 0.0000 0.0000 Th
0.1946 0.3774 0.2334 Th
0.7956 0.3303 0.0786 N
0.2044 0.6697 0.9214 N
0.4312 0.7834 0.3542 Sb
0.5688 0.2166 0.6458 Sb